# Cd2MoIr

A relaxed structure of Cd2MoIr (PBE-GGA, OQMD).

Cell lengths 4.604, 4.604, 4.604 Å; angles 60.00, 60.00, 60.00 degrees
Last column: magnetic moment on the atom in μB.
Fractional positions:
Mo (0.500, 0.500, 0.500)  0.77
Cd (0.000, 0.000, 0.000)  -0.01
Ir (0.250, 0.250, 0.250)  -0.01
Cd (0.750, 0.750, 0.750)  0.01

## Properties
calculated volume = 69 Å³/cell
symmetry = F-43m, No. 216
E_form = 0.36 eV per atom
size of the total moment = 0.851 μB per formula unit
mass density = 12.3 g cm⁻³